Ga2ReTc | the Alexandria database | PBE | optimized geometry; calculated total energy = -105.32 eV for the cell shown; N(E_F) = 4.871 states/eV/f.u.; calculated volume = 16.08 Å³/atom; relative energy among the computed polymorphs = 0.542 eV per atom; formation energy = 61 kJ per mole of atoms
1.0
6.934 0.000 0.000
0.000 6.934 0.000
0.000 0.000 5.350
Ga Re Tc
8 4 4
Direct
0.249 0.250 0.125
0.250 0.749 0.375
0.250 0.751 0.875
0.251 0.250 0.625
0.749 0.750 0.625
0.750 0.249 0.875
0.750 0.251 0.375
0.751 0.750 0.125
0.000 0.000 0.500
0.000 0.500 0.750
0.500 0.000 0.250
0.500 0.500 0.000
0.000 0.000 0.000
0.000 0.500 0.250
0.500 0.000 0.750
0.500 0.500 0.500